Entry 1:
Entry from the Alexandria database: crystalline YUAl2O8 at its relaxed geometry (PBE).

a = 5.8565 Å, b = 5.8565 Å, c = 5.8565 Å
α = 107.79°, β = 107.79°, γ = 112.89°
Last column: magnetic moment on the atom in μB.
Sites, in units of the cell vectors:
U: 0.2500 0.7500 0.5000  -0.06
O: 0.3788 0.0580 0.3208  0.12
O: 0.3209 0.1251 0.8042  0.05
O: 0.9420 0.6212 0.6792  0.12
Al: 0.7500 0.2500 0.5000  -0.01
O: 0.3209 0.5167 0.1958  0.05
O: 0.8749 0.6791 0.1958  0.05
O: 0.7372 0.0580 0.6792  0.12
O: 0.9420 0.2628 0.3208  0.12
Al: 0.5000 0.5000 0.0000  0.00
O: 0.4833 0.6791 0.8042  0.05
Y: 0.0000 0.0000 0.0000  0.00

## Properties
Calculated total energy = -8.27 eV per atom
Crystal system = tetragonal
Energy relative to the elements, uncorrected = -2.86 eV/atom
Total moment = 0.740 Bohr magnetons per cell

=====

Entry 2:
Entry from the Alexandria database: crystalline Ti2Nb2W at its relaxed geometry (PBE).

a = 3.2499 Å, b = 5.4186 Å, c = 5.3915 Å
α = 85.01°, β = 72.46°, γ = 72.55°
Sites, in units of the cell vectors:
Ti: 0.2067 0.3854 0.2012
W: 0.0000 0.0000 0.0000
Nb: 0.5935 0.1940 0.6189
Nb: 0.4065 0.8060 0.3811
Ti: 0.7933 0.6146 0.7988

## Properties
Calculated total energy = -9.77 eV per atom
Crystal system = monoclinic
E_form = 0.2 kJ/mol of atoms
ΔE to the lowest computed polymorph = 0 meV/atom
Total moment = 0.000 Bohr magnetons per cell

=====

Entry 3:
Entry from the Alexandria database: crystalline KPmBiO4 at its relaxed geometry (PBE).

a = 7.1938 Å, b = 7.1833 Å, c = 7.3533 Å
α = 120.79°, β = 90.00°, γ = 120.05°
Sites, in units of the cell vectors:
O: 0.7400 0.4800 0.6878
O: 0.6818 0.9496 0.7248
Bi: 0.0000 0.5000 0.5000
Pm: 0.5000 0.0000 0.0000
O: 0.2600 0.5200 0.3122
O: 0.2678 0.9496 0.7248
K: 0.1186 0.2372 0.8686
Pm: 0.5000 0.0000 0.5000
O: 0.7322 0.0504 0.2752
O: 0.3182 0.0504 0.2752
K: 0.8814 0.7628 0.1314
Bi: 0.5000 0.5000 0.5000
O: 0.2600 0.5200 0.7078
O: 0.7400 0.4800 0.2922

## Properties
Calculated total energy = -6.17 eV per atom
Crystal system = orthorhombic
Energy relative to the elements, uncorrected = -1.94 eV/atom
Total moment = 0.000 Bohr magnetons per cell